one:
The following is a PBE calculation of a geometry-optimized BaY3Sn structure, from Alexandria.

Structure (POSCAR):
```
BaY3Sn
1.0
5.651 0.000 0.000
0.000 5.651 0.000
0.000 0.000 5.651
Y Ba Sn
3 1 1
direct
0.500 0.000 0.000 Y
0.000 0.500 0.000 Y
0.000 0.000 0.500 Y
0.000 0.000 0.000 Ba
0.500 0.500 0.500 Sn
```

Output
spin magnetization = 0.00 Bohr magnetons per cell


two:
The following is a PBE calculation of a geometry-optimized BaY3Sn structure, from Alexandria.

Structure (POSCAR):
```
BaY3Sn
1.0
5.903 0.000 0.000
0.000 5.903 0.000
0.000 0.000 5.903
Y Sn Ba
3 1 1
direct
0.500 0.000 0.000 Y
0.000 0.500 0.000 Y
0.000 0.000 0.500 Y
0.000 0.000 0.000 Sn
0.500 0.500 0.500 Ba
```

Output
spin magnetization = 0.00 Bohr magnetons per cell


The winner here is two, beating the second structure by 910 meV per atom.


one:
The following is a PBE calculation of a geometry-optimized BaZn3Sn3 structure, from Alexandria.

Structure (POSCAR):
```
BaZn3Sn3
1.0
-2.652 -2.963 -5.500
0.006 -6.765 -0.546
-9.096 -3.584 2.129
Sn Zn Ba
6 6 2
direct
0.751 0.757 0.249 Sn
0.243 0.757 0.751 Sn
0.243 0.751 0.249 Sn
0.757 0.243 0.249 Sn
0.757 0.249 0.751 Sn
0.249 0.243 0.751 Sn
0.071 0.678 0.556 Zn
0.306 0.929 0.444 Zn
0.322 0.306 0.444 Zn
0.929 0.322 0.444 Zn
0.694 0.071 0.556 Zn
0.678 0.694 0.556 Zn
0.301 0.301 0.097 Ba
0.699 0.699 0.903 Ba
```

Output
spin magnetization = 0.00 Bohr magnetons per cell


two:
The following is a PBE calculation of a geometry-optimized BaZn3Sn3 structure, from Alexandria.

Structure (POSCAR):
```
BaZn3Sn3
1.0
-4.741 -4.736 -3.339
5.256 -5.330 0.098
-2.440 -2.282 6.700
Zn Sn Ba
6 6 2
direct
0.750 0.000 0.500 Zn
0.500 0.750 0.000 Zn
0.000 0.500 0.750 Zn
0.250 0.000 0.500 Zn
0.000 0.500 0.250 Zn
0.500 0.250 0.000 Zn
0.750 0.500 0.000 Sn
0.500 0.000 0.750 Sn
0.500 0.000 0.250 Sn
0.000 0.750 0.500 Sn
0.000 0.250 0.500 Sn
0.250 0.500 0.000 Sn
0.500 0.500 0.500 Ba
0.000 0.000 0.000 Ba
```

Output
spin magnetization = 0.00 Bohr magnetons per cell


The winner here is one, beating the second structure by 122 meV per atom.


one:
The following is a PBE calculation of a geometry-optimized Ba2ZnSn3 structure, from Alexandria.

Structure (POSCAR):
```
Ba2ZnSn3
1.0
5.119 0.000 0.000
0.000 4.806 0.000
0.000 0.000 8.297
Sn Zn Ba
3 1 2
direct
0.500 0.000 0.840 Sn
0.500 0.000 0.189 Sn
0.500 0.500 0.645 Sn
0.500 0.500 0.323 Zn
0.000 0.000 0.509 Ba
0.000 0.500 0.994 Ba
```

Output
spin magnetization = 0.00 Bohr magnetons per cell


two:
The following is a PBE calculation of a geometry-optimized Ba2ZnSn3 structure, from Alexandria.

Structure (POSCAR):
```
Ba2ZnSn3
1.0
6.553 0.338 -2.477
-0.786 6.514 -2.477
-0.287 -0.341 9.766
Ba Sn Zn
4 6 2
direct
0.237 0.237 0.000 Ba
0.750 0.250 0.500 Ba
0.763 0.763 0.000 Ba
0.250 0.750 0.500 Ba
0.179 0.648 0.827 Sn
0.172 0.172 0.345 Sn
0.352 0.821 0.173 Sn
0.821 0.352 0.173 Sn
0.828 0.828 0.655 Sn
0.648 0.179 0.827 Sn
0.668 0.668 0.337 Zn
0.332 0.332 0.663 Zn
```

Output
spin magnetization = 0.00 Bohr magnetons per cell


The winner here is two, beating the second structure by 11 meV per atom.


one:
The following is a PBE calculation of a geometry-optimized Ba2ZnSn2 structure, from Alexandria.

Structure (POSCAR):
```
Ba2ZnSn2
1.0
4.284 0.000 0.000
0.000 4.284 0.000
2.142 2.142 10.162
Sn Ba Zn
2 2 1
direct
0.250 0.750 0.500 Sn
0.750 0.250 0.500 Sn
0.400 0.400 0.201 Ba
0.600 0.600 0.799 Ba
0.000 0.000 0.000 Zn
```

Output
spin magnetization = 0.00 Bohr magnetons per cell


two:
The following is a PBE calculation of a geometry-optimized Ba2ZnSn2 structure, from Alexandria.

Structure (POSCAR):
```
Ba2ZnSn2
1.0
4.944 0.000 0.000
2.472 6.400 -0.027
2.472 0.953 11.147
Ba Zn Sn
4 2 4
direct
0.102 0.701 0.096 Ba
0.898 0.299 0.904 Ba
0.706 0.238 0.350 Ba
0.294 0.762 0.650 Ba
0.438 0.810 0.314 Zn
0.562 0.190 0.686 Zn
0.048 0.318 0.587 Sn
0.952 0.682 0.413 Sn
0.614 0.889 0.883 Sn
0.386 0.111 0.117 Sn
```

Output
spin magnetization = 0.00 Bohr magnetons per cell


The winner here is two, beating the second structure by 338 meV per atom.


one:
The following is a PBE calculation of a geometry-optimized Ba2Zn3Sn5 structure, from Alexandria.

Structure (POSCAR):
```
Ba2Zn3Sn5
1.0
-1.709 -6.719 1.275
2.572 -5.750 -7.368
7.785 -5.201 2.511
Sn Zn Ba
10 6 4
direct
0.510 0.740 0.740 Sn
0.990 0.260 0.260 Sn
0.010 0.740 0.740 Sn
0.885 0.986 0.245 Sn
0.750 0.500 0.500 Sn
0.115 0.014 0.755 Sn
0.250 0.500 0.500 Sn
0.490 0.260 0.260 Sn
0.615 0.755 0.014 Sn
0.385 0.245 0.986 Sn
0.250 0.000 0.000 Zn
0.878 0.751 0.493 Zn
0.750 0.000 0.000 Zn
0.122 0.249 0.507 Zn
0.378 0.493 0.751 Zn
0.622 0.507 0.249 Zn
0.875 0.367 0.884 Ba
0.125 0.633 0.116 Ba
0.375 0.884 0.367 Ba
0.625 0.116 0.633 Ba
```

Output
spin magnetization = 0.00 Bohr magnetons per cell


two:
The following is a PBE calculation of a geometry-optimized Ba2Zn3Sn5 structure, from Alexandria.

Structure (POSCAR):
```
Ba2Zn3Sn5
1.0
-3.772 -1.457 -3.111
3.435 -1.674 -3.380
-0.119 -9.925 4.794
Ba Zn Sn
2 3 5
direct
0.000 0.500 0.734 Ba
0.500 0.000 0.266 Ba
0.000 0.000 0.500 Zn
0.500 0.000 0.605 Zn
0.000 0.500 0.395 Zn
0.500 0.000 0.852 Sn
0.000 0.000 0.000 Sn
0.000 0.500 0.148 Sn
0.500 0.500 0.000 Sn
0.500 0.500 0.500 Sn
```

Output
spin magnetization = 0.00 Bohr magnetons per cell


The winner here is one, beating the second structure by 88 meV per atom.


one:
The following is a PBE calculation of a geometry-optimized BaZrSn3 structure, from Alexandria.

Structure (POSCAR):
```
BaZrSn3
1.0
-5.512 1.073 -1.696
-0.147 -5.160 -2.786
-2.001 -2.575 4.876
Sn Ba Zr
3 1 1
direct
0.500 0.000 0.000 Sn
0.000 0.500 0.000 Sn
0.000 0.000 0.500 Sn
0.000 0.000 0.000 Ba
0.500 0.500 0.500 Zr
```

Output
spin magnetization = 0.00 Bohr magnetons per cell


two:
The following is a PBE calculation of a geometry-optimized BaZrSn3 structure, from Alexandria.

Structure (POSCAR):
```
BaZrSn3
1.0
5.593 0.000 0.000
0.000 5.593 0.000
0.000 0.000 5.593
Sn Zr Ba
3 1 1
direct
0.000 0.500 0.000 Sn
0.500 0.000 0.000 Sn
0.000 0.000 0.500 Sn
0.000 0.000 0.000 Zr
0.500 0.500 0.500 Ba
```

Output
spin magnetization = 0.00 Bohr magnetons per cell


The winner here is two, beating the second structure by 1676 meV per atom.


one:
The following is a PBE calculation of a geometry-optimized BaZrSn2 structure, from Alexandria.

Structure (POSCAR):
```
BaZrSn2
1.0
4.779 0.000 0.000
2.390 4.139 0.000
2.390 1.380 6.781
Sn Zr Ba
2 1 1
direct
0.278 0.278 0.167 Sn
0.722 0.722 0.833 Sn
0.000 0.000 0.000 Zr
0.500 0.500 0.500 Ba
```

Output
spin magnetization = 0.00 Bohr magnetons per cell


two:
The following is a PBE calculation of a geometry-optimized BaZrSn2 structure, from Alexandria.

Structure (POSCAR):
```
BaZrSn2
1.0
-3.642 1.200 -0.903
-1.269 -3.726 0.168
-1.535 0.854 7.325
Ba Sn Zr
1 2 1
direct
0.500 0.500 0.500 Ba
0.000 0.000 0.807 Sn
0.000 0.000 0.193 Sn
0.500 0.500 0.000 Zr
```

Output
spin magnetization = 0.57 Bohr magnetons per cell


The winner here is two, beating the second structure by 89 meV per atom.


one:
The following is a PBE calculation of a geometry-optimized BaZrSn2 structure, from Alexandria.

Structure (POSCAR):
```
BaZrSn2
1.0
0.000 3.882 3.882
3.882 0.000 3.882
3.882 3.882 0.000
Ba Sn Zr
1 2 1
direct
0.500 0.500 0.500 Ba
0.250 0.250 0.250 Sn
0.750 0.750 0.750 Sn
0.000 0.000 0.000 Zr
```

Output
spin magnetization = 1.09 Bohr magnetons per cell


two:
The following is a PBE calculation of a geometry-optimized BaZrSn2 structure, from Alexandria.

Structure (POSCAR):
```
BaZrSn2
1.0
-5.222 0.116 -2.647
2.244 -2.919 -4.554
-3.783 -9.657 0.561
Zr Ba Sn
2 2 4
direct
0.250 0.750 0.500 Zr
0.500 0.500 0.000 Zr
0.000 0.000 0.000 Ba
0.750 0.250 0.500 Ba
0.462 0.125 0.250 Sn
0.375 0.538 0.750 Sn
0.875 0.712 0.750 Sn
0.288 0.625 0.250 Sn
```

Output
spin magnetization = 1.03 Bohr magnetons per cell


The winner here is one, beating the second structure by 81 meV per atom.


one:
The following is a PBE calculation of a geometry-optimized BaZr3Sn structure, from Alexandria.

Structure (POSCAR):
```
BaZr3Sn
1.0
-0.199 -1.541 5.044
-3.941 -3.312 -1.167
3.506 -3.810 -1.025
Ba Zr Sn
1 3 1
direct
0.000 0.000 0.000 Ba
0.000 0.500 0.000 Zr
0.000 0.000 0.500 Zr
0.500 0.000 0.000 Zr
0.500 0.500 0.500 Sn
```

Output
spin magnetization = 0.00 Bohr magnetons per cell


two:
The following is a PBE calculation of a geometry-optimized BaZr3Sn structure, from Alexandria.

Structure (POSCAR):
```
BaZr3Sn
1.0
-4.281 3.250 1.239
-1.391 -3.401 4.113
3.188 2.880 3.459
Zr Ba Sn
3 1 1
direct
0.000 0.500 0.000 Zr
0.000 0.000 0.500 Zr
0.500 0.000 0.000 Zr
0.500 0.500 0.500 Ba
0.000 0.000 0.000 Sn
```

Output
spin magnetization = 0.00 Bohr magnetons per cell


The winner here is two, beating the second structure by 882 meV per atom.


one:
The following is a PBE calculation of a geometry-optimized BaSr3 structure, from Alexandria.

Structure (POSCAR):
```
BaSr3
1.0
-2.427 0.402 7.061
0.874 -6.650 3.306
4.733 4.287 -3.890
Ba Sr
1 3
direct
0.000 0.000 0.000 Ba
0.500 0.500 0.000 Sr
0.250 0.750 0.500 Sr
0.750 0.250 0.500 Sr
```

Output
spin magnetization = 0.00 Bohr magnetons per cell


two:
The following is a PBE calculation of a geometry-optimized BaSr3 structure, from Alexandria.

Structure (POSCAR):
```
BaSr3
1.0
7.974 -0.002 -0.008
-3.624 7.103 -0.008
-3.624 -5.917 3.930
Ba Sr
1 3
direct
0.000 0.000 0.000 Ba
0.500 0.000 0.500 Sr
0.000 0.500 0.500 Sr
0.500 0.500 0.000 Sr
```

Output
spin magnetization = 0.00 Bohr magnetons per cell


The winner here is two, beating the second structure by 6 meV per atom.


one:
The following is a PBE calculation of a geometry-optimized BaSr3 structure, from Alexandria.

Structure (POSCAR):
```
BaSr3
1.0
-2.791 -2.685 7.698
-1.094 -4.971 -6.953
6.276 -3.067 1.205
Sr Ba
6 2
direct
0.166 0.333 0.250 Sr
0.166 0.834 0.250 Sr
0.834 0.667 0.750 Sr
0.834 0.166 0.750 Sr
0.333 0.166 0.750 Sr
0.667 0.834 0.250 Sr
0.333 0.667 0.750 Ba
0.667 0.333 0.250 Ba
```

Output
spin magnetization = 0.00 Bohr magnetons per cell


two:
The following is a PBE calculation of a geometry-optimized BaSr3 structure, from Alexandria.

Structure (POSCAR):
```
BaSr3
1.0
-1.959 2.679 -5.939
-6.300 0.799 2.438
1.173 4.388 1.593
Ba Sr
1 3
direct
0.000 0.000 0.000 Ba
0.500 0.500 0.000 Sr
0.000 0.500 0.500 Sr
0.500 0.000 0.500 Sr
```

Output
spin magnetization = 0.00 Bohr magnetons per cell


The winner here is two, beating the second structure by 5 meV per atom.


one:
The following is a PBE calculation of a geometry-optimized BaSr3 structure, from Alexandria.

Structure (POSCAR):
```
BaSr3
1.0
-1.513 -6.177 4.848
6.205 -3.158 3.932
-4.275 6.638 -1.264
Ba Sr
1 3
direct
0.500 0.000 0.500 Ba
0.000 0.500 0.500 Sr
0.753 0.753 0.000 Sr
0.247 0.247 0.000 Sr
```

Output
spin magnetization = 0.00 Bohr magnetons per cell


two:
The following is a PBE calculation of a geometry-optimized BaSr3 structure, from Alexandria.

Structure (POSCAR):
```
BaSr3
1.0
-3.920 -1.670 0.571
3.392 -2.596 -0.487
2.030 0.025 14.013
Sr Ba
3 1
direct
0.667 0.333 0.746 Sr
0.000 0.000 0.500 Sr
0.667 0.333 0.254 Sr
0.000 0.000 0.000 Ba
```

Output
spin magnetization = 0.00 Bohr magnetons per cell


The winner here is one, beating the second structure by 8 meV per atom.